Here is MgTaRe2F at its PBEsol-relaxed geometry from the Alexandria database. Energies are from meta-GGA SCAN.

```
MgTaRe2F
1.0
-2.800 2.342 -2.961
-0.198 -3.772 -2.797
-4.510 -1.845 2.806
Re Mg F Ta
2 1 1 1
Cartesian
-0.099 -1.886 -1.399
-1.400 1.171 -1.480
-2.255 -0.922 1.403
-3.754 -1.637 -1.476
0.000 0.000 0.000
```

The space group is P4/mmm (123). The value obtained for the formation energy from raw total energies is 170 kJ/mol of atoms. As for the volume: 124.2 Å³ per cell. The crystal system is tetragonal.